Here is a relaxed structure of RbNa2Cd2 from Alexandria via LeMat-Bulk. Energies are from PBEsol.

Space-group type ... I4/mmm, No. 139
N(E_F) ... 0.450 states/eV/atom
Calculated density ... 3.4 Mg/m³
Energy relative to the lowest polymorph listed for this composition ... 8 meV per atom
Calculated volume ... 35.02 Å³ per atom

The structure in extended XYZ format:
```
5
Lattice="-0.800 -4.947 -0.102 4.947 -0.799 -0.087 -1.977 2.713 7.062" Properties=species:S:1:pos:R:3 pbc="T T T"
Na -0.352 -2.553 3.433
Na 2.522 -0.479 3.441
Cd 0.077 -0.127 5.546
Rb 0.000 0.000 0.000
Cd 2.093 -2.905 1.328
```